Entry 1:
ZnSbCl2, relaxed, DFT PBE; spin magnetization = 0.000 μB per atom; uncorrected formation energy = -0.68 eV per formula unit
1.0
1.694 0.978 9.414
-1.694 0.978 9.414
0.000 -1.956 9.414
Zn Sb Cl
1 1 2
Direct
0.000 0.000 0.000
0.500 0.500 0.500
0.084 0.084 0.084
0.916 0.916 0.916

Entry 2:
As3RuW, relaxed, DFT PBE; energy relative to the elements = 1.1383 eV per atom; spin magnetization = 0.385 μB per atom
1.0
4.841 0.000 0.000
0.000 4.841 0.000
0.000 0.000 4.841
As Ru W
3 1 1
Direct
0.000 0.000 0.500
0.000 0.500 0.000
0.500 0.000 0.000
0.500 0.500 0.500
0.000 0.000 0.000

Entry 3:
CsRb2Ga2, relaxed, DFT PBE; energy relative to the elements = 0.3583 eV per atom; spin magnetization = 0.081 μB per atom
1.0
-3.270 3.270 6.487
3.270 -3.270 6.487
3.270 3.270 -6.487
Cs Rb Ga
1 2 2
Direct
0.000 0.000 0.000
0.353 0.353 0.000
0.647 0.647 0.000
0.250 0.750 0.500
0.750 0.250 0.500

Entry 4:
ZnCdCoSe2, relaxed, DFT PBE; spin magnetization = 0.118 μB per atom; uncorrected formation energy = 0.96 eV per formula unit
1.0
4.745 0.000 0.000
0.000 4.745 0.000
0.000 0.000 4.552
Zn Cd Co Se
1 1 1 2
Direct
0.000 0.000 0.000
0.500 0.500 0.000
0.000 0.000 0.500
0.000 0.500 0.500
0.500 0.000 0.500

Entry 5:
CaSc2Au2, relaxed, DFT PBE; energy relative to the elements = -0.6237 eV per atom; spin magnetization = 0.000 μB per atom
1.0
8.088 0.000 0.000
0.000 8.088 0.000
0.000 0.000 3.469
Ca Sc Au
2 4 4
Direct
0.000 0.000 0.000
0.500 0.500 0.000
0.153 0.347 0.500
0.347 0.847 0.500
0.653 0.153 0.500
0.847 0.653 0.500
0.138 0.638 0.000
0.362 0.138 0.000
0.638 0.862 0.000
0.862 0.362 0.000

Entry 6:
SrNiP2, relaxed, DFT PBE; energy relative to the elements = -0.1176 eV per atom; spin magnetization = 0.000 μB per atom
1.0
3.323 0.000 0.000
0.000 3.323 0.000
0.000 0.000 6.544
Sr Ni P
1 1 2
Direct
0.000 0.000 0.000
0.500 0.500 0.371
0.000 0.000 0.479
0.500 0.500 0.703

Entry 7:
Zn2Au13, relaxed, DFT PBE; energy relative to the elements = -0.0261 eV per atom; spin magnetization = 0.000 μB per atom
1.0
6.827 0.000 0.000
-0.173 7.152 0.000
-3.261 -3.495 5.597
Zn Au
2 13
Direct
0.195 0.242 0.369
0.805 0.758 0.631
0.000 0.000 0.500
0.031 0.793 0.075
0.079 0.460 0.710
0.260 0.911 0.871
0.375 0.813 0.489
0.456 0.396 0.252
0.481 0.267 0.841
0.519 0.733 0.159
0.544 0.604 0.748
0.625 0.187 0.511
0.740 0.089 0.129
0.921 0.540 0.290
0.969 0.207 0.925

Entry 8:
BS2IN, relaxed, DFT PBE; spin magnetization = 0.000 μB per atom; uncorrected formation energy = 2.71 eV per formula unit
1.0
8.033 0.000 0.000
0.000 8.033 0.000
0.000 0.000 2.592
B S I N
1 2 1 1
Direct
0.000 0.000 0.000
0.000 0.500 0.000
0.500 0.000 0.000
0.500 0.500 0.500
0.000 0.000 0.500